Material: KBaCoO2
Method: DFT, GGA+U
State: relaxed

The calculation puts the total magnetization at 2.00 μB per formula unit. For the final energy, the calculation gives -5.1077 eV/atom.

It has space group P2/c (No. 13), with a = 5.697 Å, b = 5.714 Å, c = 7.594 Å, α = 90.00°, β = 90.11° and γ = 90.00°. The asymmetric unit holds K at (0.000, 0.001, 0.250), Ba at (0.500, 0.500, 0.250), Co at (0.500, 0.000, 0.000) and O at (0.301, 0.242, 0.000).